No. 1
DFT (GGA-PBEsol) results for Na2MnBe after structural relaxation.

Cell lengths 7.1630, 7.1630, 7.1630 Å; angles 95.65, 95.65, 143.41 degrees
Closest atoms and distances in Å follow each position.
Positions (direct):
Na1 0.3750 0.0028 0.1278  2 Be 2.73
Na2 0.7528 0.6250 0.6278  2 Be 2.73
Na3 0.8750 0.2472 0.8722  2 Be 2.73
Na4 0.9972 0.1250 0.3722  2 Be 2.73
Mn1 0.2500 0.7500 0.5000  2 Be 2.25
Mn2 0.5000 0.5000 0.0000  2 Be 2.25
Be1 0.0000 0.0000 0.0000  2 Mn 2.25
Be2 0.7500 0.2500 0.5000  2 Mn 2.25

Summary:
Magnetization, Bohr magnetons per cell: 7.89
Mass density, Mg/m³: 1.76
N(E_F), states/eV per cell: 4.5
Energy relative to the elements, eV per atom: 1.002
Energy, eV per cell: -25.1
Crystal system: tetragonal

No. 2
DFT (GGA-PBEsol) results for YHf2Co after structural relaxation.

Cell lengths 4.7149, 4.7149, 4.7149 Å; angles 60.00, 60.00, 60.00 degrees
Closest atoms and distances in Å follow each position.
Positions (direct):
Y1 0.0000 0.0000 0.0000  8 Hf 2.89
Hf1 0.2500 0.2500 0.2500  4 Co 2.89, 4 Y 2.89
Hf2 0.7500 0.7500 0.7500  4 Co 2.89, 4 Y 2.89
Co1 0.5000 0.5000 0.5000  8 Hf 2.89

Summary:
Magnetization, Bohr magnetons per cell: 0.00
Mass density, Mg/m³: 11.31
N(E_F), states/eV per cell: 5.8
Energy relative to the elements, eV per atom: 0.309
Energy, eV per cell: -34.3
Crystal system: cubic